Material: UTa2Co
Method: DFT, GGA-PBE
State: optimized geometry

Cell and atoms, written as CIF:
```
data_UTa2Co
_cell_length_a 3.307
_cell_length_b 3.307
_cell_length_c 6.293
_cell_angle_alpha 90.00
_cell_angle_beta 90.00
_cell_angle_gamma 90.00
_symmetry_space_group_name_H-M 'P 4/m m m'
_symmetry_Int_Tables_number 123
_symmetry_space_group_name_Hall '-P 4 2'
loop_
_atom_site_label
_atom_site_type_symbol
_atom_site_fract_x
_atom_site_fract_y
_atom_site_fract_z
U1 U 0.000 0.000 0.000
Ta1 Ta 0.500 0.500 0.271
Co1 Co 0.000 0.000 0.500
```

Computed properties:
* energy relative to the elements: 1.3 eV per formula unit
* M_tot: 1.584 μB/f.u.
* DOS at the Fermi energy: 1.686 states/eV per atom

***

Material: UTaCo
Method: DFT, GGA-PBE
State: optimized geometry

Cell and atoms, written as CIF:
```
data_UTaCo
_cell_length_a 4.3565
_cell_length_b 4.3565
_cell_length_c 19.0024
_cell_angle_alpha 90.00
_cell_angle_beta 90.00
_cell_angle_gamma 120.00
_symmetry_space_group_name_H-M 'R -3 m'
_symmetry_Int_Tables_number 166
_symmetry_space_group_name_Hall '-R 3 2"'
loop_
_atom_site_label
_atom_site_type_symbol
_atom_site_fract_x
_atom_site_fract_y
_atom_site_fract_z
U1 U 0.0000 0.0000 0.1323
Ta1 Ta 0.0000 0.0000 0.3010
Co1 Co 0.0000 0.0000 0.4339
```

Computed properties:
* energy relative to the elements: 0.2 eV per formula unit
* M_tot: 0.001 μB/f.u.
* DOS at the Fermi energy: 2.113 states/eV per atom